A geometry-optimized ScAl8Ni4 structure, computed with PBE.

Unit cell a=8.4977 b=8.4977 c=5.0860 alpha=90.00 beta=90.00 gamma=90.00
Space group I4/mmm (No. 139)
Inequivalent atoms, fractional coordinates:
Sc1 0.0000 0.0000 0.0000
Al1 0.0000 0.2204 0.5000
Al2 0.0000 0.3402 0.0000
Ni1 0.2500 0.2500 0.2500

Summary:
Final energy = -0.189 hartree per atom